This record from the Open Quantum Materials Database describes Dy2PbS3 after structural relaxation. The functional is PBE-GGA.

Lattice parameters (Å, degrees): 3.861 3.861 11.558 90.00 90.00 120.00
Fractional coordinates of all 6 atoms:
Dy 0.333 0.667 0.146
Dy 0.667 0.333 0.854
Pb 0.000 0.000 0.500
S 0.000 0.000 0.000
S 0.333 0.667 0.726
S 0.667 0.333 0.274

Output
Final energy   -5.75 eV per atom